w) Material: InSi4
Method: DFT, GGA-PBE
State: relaxed

abc: 5.448 5.448 5.448
angles: 130.09 130.09 73.27
Fractional coordinates of all 5 atoms:
1 Si 0.250 0.750 0.500
2 Si 0.363 0.363 0.000
3 Si 0.750 0.250 0.500
4 Si 0.637 0.637 0.000
5 In 0.000 0.000 0.000

***

x) Material: InSi4
Method: DFT, GGA-PBE
State: relaxed

abc: 5.391 5.391 5.391
angles: 95.55 95.55 143.76
Fractional coordinates of all 5 atoms:
1 Si 0.629 0.854 0.483
2 Si 0.854 0.371 0.226
3 Si 0.146 0.629 0.774
4 Si 0.371 0.146 0.517
5 In 0.000 0.000 0.000

***

y) Material: InSi4
Method: DFT, GGA-PBE
State: relaxed

abc: 5.044 5.044 5.044
angles: 90.00 90.00 90.00
Fractional coordinates of all 5 atoms:
1 Si 0.500 0.500 0.000
2 Si 0.000 0.000 0.000
3 Si 0.500 0.000 0.500
4 Si 0.000 0.500 0.500
5 In 0.500 0.500 0.500

***

How far above the most stable structure does each one sit? In meV per atom: w) 0; x) 173; y) 1290.

***

w) Material: In3Si5
Method: DFT, GGA-PBE
State: relaxed

abc: 8.379 8.382 8.081
angles: 98.83 98.81 134.77
Fractional coordinates of all 16 atoms:
1 Si 0.728 0.273 0.500
2 Si 0.955 0.278 0.324
3 Si 0.277 0.955 0.324
4 Si 0.870 0.548 0.324
5 Si 0.453 0.131 0.676
6 Si 0.724 0.046 0.676
7 Si 0.131 0.453 0.676
8 Si 0.273 0.728 0.500
9 Si 0.548 0.870 0.324
10 Si 0.046 0.724 0.676
11 In 0.198 0.201 0.900
12 In 0.745 0.245 0.000
13 In 0.730 0.730 0.500
14 In 0.272 0.272 0.500
15 In 0.799 0.801 0.100
16 In 0.245 0.745 0.000

***

x) Material: In3Si5
Method: DFT, GGA-PBE
State: relaxed

abc: 8.785 8.785 4.999
angles: 90.00 90.00 120.00
Fractional coordinates of all 16 atoms:
1 Si 0.837 0.837 0.250
2 Si 0.163 0.000 0.250
3 Si 0.837 0.000 0.750
4 Si 0.333 0.667 0.000
5 Si 0.333 0.667 0.500
6 Si 0.000 0.163 0.250
7 Si 0.667 0.333 0.000
8 Si 0.163 0.163 0.750
9 Si 0.667 0.333 0.500
10 Si 0.000 0.837 0.750
11 In 0.382 0.000 0.750
12 In 0.618 0.000 0.250
13 In 0.000 0.618 0.250
14 In 0.000 0.382 0.750
15 In 0.382 0.382 0.250
16 In 0.618 0.618 0.750

***

y) Material: In3Si5
Method: DFT, GGA-PBE
State: relaxed

abc: 6.623 6.623 3.838
angles: 90.00 90.00 105.46
Fractional coordinates of all 8 atoms:
1 In 0.242 0.758 0.500
2 In 0.500 0.500 0.000
3 In 0.758 0.242 0.500
4 Si 0.000 0.500 0.000
5 Si 0.205 0.205 0.500
6 Si 0.000 0.000 0.000
7 Si 0.500 0.000 0.000
8 Si 0.795 0.795 0.500

***

How far above the most stable structure does each one sit? In meV per atom: w) 0; x) 81; y) 142.

***

w) Material: In4Si
Method: DFT, GGA-PBE
State: relaxed

abc: 5.680 5.680 5.680
angles: 109.47 109.47 109.47
Fractional coordinates of all 5 atoms:
1 Si 0.000 0.000 0.000
2 In 0.000 0.500 0.000
3 In 0.500 0.000 0.000
4 In 0.500 0.500 0.500
5 In 0.000 0.000 0.500

***

x) Material: In4Si
Method: DFT, GGA-PBE
State: relaxed

abc: 5.287 5.287 5.287
angles: 90.00 90.00 90.00
Fractional coordinates of all 5 atoms:
1 In 0.500 0.500 0.000
2 In 0.000 0.000 0.000
3 In 0.000 0.500 0.500
4 In 0.500 0.000 0.500
5 Si 0.500 0.500 0.500

***

How far above the most stable structure does each one sit? In meV per atom: w) 0; x) 36.

***

w) Material: In2Si
Method: DFT, GGA-PBE
State: relaxed

abc: 8.205 8.205 6.084
angles: 68.16 68.16 22.00
Fractional coordinates of all 6 atoms:
1 In 0.804 0.804 0.151
2 In 0.196 0.196 0.849
3 In 0.893 0.893 0.526
4 In 0.107 0.107 0.474
5 Si 0.464 0.464 0.856
6 Si 0.536 0.536 0.144

***

x) Material: In2Si
Method: DFT, GGA-PBE
State: relaxed

abc: 6.531 6.531 4.953
angles: 90.00 90.00 138.01
Fractional coordinates of all 6 atoms:
1 In 0.349 0.042 0.250
2 In 0.651 0.958 0.750
3 In 0.042 0.349 0.250
4 In 0.958 0.651 0.750
5 Si 0.637 0.637 0.250
6 Si 0.363 0.363 0.750

***

How far above the most stable structure does each one sit? In meV per atom: w) 0; x) 7.

***

w) Material: In2Si
Method: DFT, GGA-PBE
State: relaxed

abc: 5.971 5.971 7.433
angles: 73.59 73.59 35.95
Fractional coordinates of all 6 atoms:
1 Si 0.874 0.874 0.824
2 Si 0.262 0.262 0.761
3 In 0.714 0.714 0.194
4 In 0.579 0.579 0.629
5 In 0.032 0.032 0.047
6 In 0.372 0.372 0.378

***

x) Material: In2Si
Method: DFT, GGA-PBE
State: relaxed

abc: 5.241 5.241 2.940
angles: 90.00 90.00 120.00
Fractional coordinates of all 3 atoms:
1 In 0.667 0.333 0.858
2 In 0.333 0.667 0.142
3 Si 0.000 0.000 0.000

***

y) Material: In2Si
Method: DFT, GGA-PBE
State: relaxed

abc: 5.784 5.784 5.784
angles: 102.08 102.08 125.55
Fractional coordinates of all 6 atoms:
1 In 0.846 0.346 0.192
2 In 0.654 0.846 0.500
3 In 0.346 0.154 0.500
4 In 0.154 0.654 0.808
5 Si 0.250 0.250 0.000
6 Si 0.750 0.750 0.000

***

How far above the most stable structure does each one sit? In meV per atom: w) 0; x) 173; y) 55.

***

w) Material: In2Si
Method: DFT, GGA-PBE
State: relaxed

abc: 4.783 4.783 4.783
angles: 60.00 60.00 60.00
Fractional coordinates of all 3 atoms:
1 In 0.750 0.750 0.750
2 In 0.250 0.250 0.250
3 Si 0.000 0.000 0.000

***

x) Material: In2Si
Method: DFT, GGA-PBE
State: relaxed

abc: 3.703 6.090 7.396
angles: 93.07 107.74 108.83
Fractional coordinates of all 6 atoms:
1 Si 0.807 0.459 0.295
2 Si 0.142 0.203 0.246
3 In 0.661 0.948 0.475
4 In 0.078 0.560 0.691
5 In 0.506 0.172 0.865
6 In 0.876 0.761 0.039

***

How far above the most stable structure does each one sit? In meV per atom: w) 60; x) 0.

***

w) Material: In2Si
Method: DFT, GGA-PBE
State: relaxed

abc: 4.950 4.950 6.598
angles: 90.00 90.00 120.00
Fractional coordinates of all 6 atoms:
1 In 0.333 0.667 0.250
2 In 0.000 0.000 0.500
3 In 0.000 0.000 0.000
4 In 0.667 0.333 0.750
5 Si 0.667 0.333 0.250
6 Si 0.333 0.667 0.750

***

x) Material: In2Si
Method: DFT, GGA-PBE
State: relaxed

abc: 6.003 6.003 6.003
angles: 60.00 60.00 60.00
Fractional coordinates of all 6 atoms:
1 In 0.125 0.125 0.125
2 In 0.125 0.125 0.625
3 In 0.625 0.125 0.125
4 In 0.125 0.625 0.125
5 Si 0.750 0.750 0.750
6 Si 0.500 0.500 0.500

***

y) Material: In2Si
Method: DFT, GGA-PBE
State: relaxed

abc: 3.177 4.165 5.965
angles: 78.46 90.30 67.29
Fractional coordinates of all 3 atoms:
1 In 0.169 0.659 0.202
2 In 0.831 0.341 0.798
3 Si 0.500 0.000 0.500

***

z) Material: In2Si
Method: DFT, GGA-PBE
State: relaxed

abc: 5.259 3.677 7.652
angles: 90.00 99.12 90.00
Fractional coordinates of all 6 atoms:
1 Si 0.602 0.250 0.442
2 Si 0.398 0.750 0.558
3 In 0.054 0.250 0.706
4 In 0.946 0.750 0.294
5 In 0.323 0.250 0.100
6 In 0.677 0.750 0.900

***

How far above the most stable structure does each one sit? In meV per atom: w) 152; x) 494; y) 100; z) 0.

***

w) Material: InSi5
Method: DFT, GGA-PBE
State: relaxed

abc: 7.376 7.376 5.182
angles: 90.00 90.00 158.50
Fractional coordinates of all 6 atoms:
1 In 0.056 0.944 0.000
2 Si 0.377 0.623 0.000
3 Si 0.734 0.266 0.000
4 Si 0.722 0.278 0.500
5 Si 0.389 0.611 0.500
6 Si 0.055 0.945 0.500

***

x) Material: InSi5
Method: DFT, GGA-PBE
State: relaxed

abc: 5.410 5.410 6.174
angles: 85.20 85.20 36.09
Fractional coordinates of all 6 atoms:
1 Si 0.997 0.997 0.536
2 Si 0.683 0.683 0.507
3 Si 0.316 0.316 0.720
4 Si 0.368 0.368 0.314
5 Si 0.759 0.759 0.097
6 In 0.043 0.043 0.993

***

How far above the most stable structure does each one sit? In meV per atom: w) 0; x) 18.